Entry 1:
# Tb4Dy5Tl

An optimized crystal structure of Tb4Dy5Tl (PBE, the Alexandria database).

Structure (CIF):
```
data_Tb4Dy5Tl
_chemical_formula_sum 'Tb4 Dy5 Tl1'
_cell_length_a 4.1308
_cell_length_b 4.1308
_cell_length_c 18.0854
_cell_angle_alpha 90.00
_cell_angle_beta 90.00
_cell_angle_gamma 90.00
_symmetry_space_group_name_H-M 'P 1'
_symmetry_Int_Tables_number 1
loop_
_symmetry_equiv_pos_as_xyz
'x,y,z'
loop_
_atom_site_label
_atom_site_fract_x
_atom_site_fract_y
_atom_site_fract_z
Tb1 0.0000 0.0000 0.1009
Tb2 0.0000 0.0000 0.3021
Tb3 0.0000 0.0000 0.6979
Tb4 0.0000 0.0000 0.8991
Dy1 0.5000 0.5000 0.0000
Dy2 0.5000 0.5000 0.2042
Dy3 0.5000 0.5000 0.4093
Dy4 0.5000 0.5000 0.5907
Dy5 0.5000 0.5000 0.7958
Tl1 0.0000 0.0000 0.5000
```


Entry 2:
# MgTa3N (PBE, optimized geometry)
data_MgTa3N
_chemical_formula_sum 'Mg1 Ta3 N1'
_cell_length_a 4.2975
_cell_length_b 4.2975
_cell_length_c 4.2975
_cell_angle_alpha 90.00
_cell_angle_beta 90.00
_cell_angle_gamma 90.00
_symmetry_space_group_name_H-M 'P 1'
_symmetry_Int_Tables_number 1
loop_
_symmetry_equiv_pos_as_xyz
'x,y,z'
loop_
_atom_site_label
_atom_site_fract_x
_atom_site_fract_y
_atom_site_fract_z
Mg1 0.0000 0.0000 0.0000
Ta1 0.0000 0.5000 0.5000
Ta2 0.5000 0.0000 0.5000
Ta3 0.5000 0.5000 0.0000
N1 0.5000 0.5000 0.5000
# **Formation energy without anion corrections**: -237.2 meV per atom


Entry 3:
# Cd2CoHg2

An optimized crystal structure of Cd2CoHg2 (PBE, the Alexandria database).

Structure (CIF):
```
data_Cd2CoHg2
_chemical_formula_sum 'Cd4 Co2 Hg4'
_cell_length_a 7.0311
_cell_length_b 7.0311
_cell_length_c 4.4193
_cell_angle_alpha 90.00
_cell_angle_beta 90.00
_cell_angle_gamma 90.00
_symmetry_space_group_name_H-M 'P 1'
_symmetry_Int_Tables_number 1
loop_
_symmetry_equiv_pos_as_xyz
'x,y,z'
loop_
_atom_site_label
_atom_site_fract_x
_atom_site_fract_y
_atom_site_fract_z
Cd1 0.1610 0.3390 0.0000
Cd2 0.3390 0.8390 0.0000
Cd3 0.6610 0.1610 0.0000
Cd4 0.8390 0.6610 0.0000
Co1 0.0000 0.0000 0.5000
Co2 0.5000 0.5000 0.5000
Hg1 0.1533 0.6533 0.5000
Hg2 0.3467 0.1533 0.5000
Hg3 0.6533 0.8467 0.5000
Hg4 0.8467 0.3467 0.5000
```


Computed energy relative to the lowest polymorph listed for this composition (meV/atom) in order:
0 0 0